Entry 1:
The following is a DFT calculation (PBE) of an optimized crystal structure of Ir3W5.

## Properties
- ρ: 19.39 g/cm³
- V: 256 Å³/cell
- E: -11.2917 eV/atom
- E_form: 0.127 eV/atom
- Energy above the most stable polymorph in this dataset: 240.0 meV per atom

POSCAR file:
```
Ir3W5
1.0
7.745 0.000 0.000
3.873 6.707 0.000
0.000 0.000 4.933
Ir W
6 10
direct
0.592 0.408 0.750
0.408 0.592 0.250
0.408 0.000 0.750
0.000 0.408 0.250
0.592 0.000 0.250
0.000 0.592 0.750
0.776 0.224 0.250
0.224 0.776 0.750
0.224 0.000 0.250
0.000 0.224 0.750
0.667 0.667 0.000
0.667 0.667 0.500
0.333 0.333 0.000
0.333 0.333 0.500
0.776 0.000 0.750
0.000 0.776 0.250
```

=====

Entry 2:
The following is a DFT calculation (PBE) of an optimized crystal structure of Ir3W.

## Properties
- ρ: 21.19 g/cm³
- V: 60 Å³/cell
- E: -9.9535 eV/atom
- E_form: -0.069 eV/atom

POSCAR file:
```
Ir3W
1.0
2.754 0.000 0.000
-1.377 9.109 0.002
1.377 -0.209 2.376
Ir W
3 1
direct
0.001 0.002 0.001
0.250 0.750 0.250
0.499 0.498 0.499
0.750 0.250 0.750
```

=====

Entry 3:
The following is a DFT calculation (PBE) of an optimized crystal structure of IrW5.

## Properties
- ρ: 19.21 g/cm³
- V: 96 Å³/cell
- E: -12.0046 eV/atom
- E_form: 0.267 eV/atom
- Energy above the most stable polymorph in this dataset: 109.5 meV per atom

POSCAR file:
```
IrW5
1.0
3.417 3.197 -1.368
-3.725 -1.010 -2.978
-2.473 3.463 1.919
Ir W
1 5
direct
0.000 0.000 0.500
0.331 0.331 0.000
0.000 0.669 0.000
0.669 0.000 0.000
0.667 0.333 0.500
0.333 0.667 0.500
```

=====

Entry 4:
The following is a DFT calculation (PBE) of an optimized crystal structure of Ir3W.

## Properties
- ρ: 21.23 g/cm³
- V: 59 Å³/cell
- E: -10.0322 eV/atom
- E_form: -0.148 eV/atom

POSCAR file:
```
Ir3W
1.0
-1.069 1.971 1.598
-1.427 -4.178 1.826
4.204 0.451 2.256
Ir W
3 1
direct
0.002 0.003 0.999
0.498 0.997 0.501
0.250 0.500 0.750
0.750 0.500 0.250
```

=====

Entry 5:
The following is a DFT calculation (PBE) of an optimized crystal structure of IrW2.

## Properties
- ρ: 19.22 g/cm³
- V: 97 Å³/cell
- E: -11.4222 eV/atom
- E_form: 0.167 eV/atom
- Energy above the most stable polymorph in this dataset: 273.4 meV per atom

POSCAR file:
```
IrW2
1.0
-8.810 -7.293 5.663
-7.863 -5.019 8.709
6.945 7.432 -7.706
Ir W
2 4
direct
0.000 0.000 0.000
0.750 0.250 0.500
0.328 0.828 0.500
0.172 0.672 0.500
0.578 0.578 0.000
0.422 0.422 0.000
```

=====

Entry 6:
The following is a DFT calculation (PBE) of an optimized crystal structure of Ir3W5.

## Properties
- ρ: 19.55 g/cm³
- V: 254 Å³/cell
- E: -11.3938 eV/atom
- E_form: 0.025 eV/atom
- Energy above the most stable polymorph in this dataset: 137.9 meV per atom

POSCAR file:
```
Ir3W5
1.0
-0.569 -2.735 4.159
3.771 -6.339 -0.634
6.185 4.759 0.526
Ir W
6 10
direct
0.238 0.025 0.000
0.763 0.975 0.000
0.741 0.500 0.857
0.260 0.500 0.144
0.823 0.854 0.500
0.178 0.146 0.500
0.748 0.500 0.497
0.253 0.500 0.503
0.216 0.842 0.294
0.784 0.158 0.706
0.316 0.302 0.839
0.685 0.698 0.162
0.442 0.842 0.706
0.558 0.158 0.294
0.883 0.302 0.162
0.118 0.698 0.839
```

=====

Entry 7:
The following is a DFT calculation (PBE) of an optimized crystal structure of IrW2.

## Properties
- ρ: 19.49 g/cm³
- V: 48 Å³/cell
- E: -11.3685 eV/atom
- E_form: 0.221 eV/atom
- Energy above the most stable polymorph in this dataset: 327.1 meV per atom

POSCAR file:
```
IrW2
1.0
3.295 0.000 0.000
-1.647 4.692 -0.009
0.000 1.163 3.083
Ir W
1 2
direct
0.000 0.000 0.000
0.329 0.658 0.671
0.671 0.342 0.329
```

=====

Entry 8:
The following is a DFT calculation (PBE) of an optimized crystal structure of Ir3W4.

## Properties
- ρ: 19.77 g/cm³
- V: 110 Å³/cell
- E: -11.0612 eV/atom
- E_form: 0.138 eV/atom
- Energy above the most stable polymorph in this dataset: 122.1 meV per atom

POSCAR file:
```
Ir3W4
1.0
10.120 -1.415 -1.368
9.663 -1.435 3.296
-10.221 -0.895 -1.006
Ir W
3 4
direct
0.000 0.000 0.000
0.711 0.711 0.000
0.289 0.289 0.000
0.852 0.852 0.000
0.573 0.573 0.000
0.427 0.427 0.000
0.148 0.148 0.000
```